Ac4Sb2TeN2 after structural relaxation. Source: Alexandria via LeMat-Bulk, functional PBE.

Cell and atoms, written as CIF:
```
data_Ac4Sb2TeN2
_chemical_formula_sum 'Ac8 Sb4 Te2 N4'
_space_group_name_H-M_alt 'C 1 2/m 1'
_space_group_IT_number 12
_space_group_name_Hall '-C 2y'
_cell_length_a 17.427
_cell_length_b 4.510
_cell_length_c 9.573
_cell_angle_alpha 90.00
_cell_angle_beta 121.16
_cell_angle_gamma 90.00
loop_
_atom_site_label
_atom_site_type_symbol
_atom_site_fract_x
_atom_site_fract_y
_atom_site_fract_z
Ac1 Ac 0.024 0.000 0.285
Ac2 Ac 0.232 0.500 0.329
Sb1 Sb 0.095 0.500 0.616
Te1 Te 0.000 0.500 0.000
N1 N 0.179 0.000 0.376
```

Properties
The uncorrected formation energy is -117 kJ/mol of atoms. For the calculated total energy, the calculation gives -6.158 eV/atom.

***

CsRbTlSn after structural relaxation. Source: Alexandria via LeMat-Bulk, functional PBE.

Cell and atoms, written as CIF:
```
data_CsRbTlSn
_chemical_formula_sum 'Cs4 Rb4 Tl4 Sn4'
_space_group_name_H-M_alt 'F -4 3 m'
_space_group_IT_number 216
_space_group_name_Hall 'F -4 2 3'
_cell_length_a 8.625
_cell_length_b 8.625
_cell_length_c 8.625
_cell_angle_alpha 90.00
_cell_angle_beta 90.00
_cell_angle_gamma 90.00
loop_
_atom_site_label
_atom_site_type_symbol
_atom_site_fract_x
_atom_site_fract_y
_atom_site_fract_z
Cs1 Cs 0.000 0.000 0.000
Rb1 Rb 0.250 0.250 0.250
Tl1 Tl 0.250 0.250 0.750
Sn1 Sn 0.000 0.000 0.500
```

Properties
For the calculated total energy, the calculation gives -2.096 eV/atom. The formation energy is -48 meV per atom.